Record 1
{"formula": "La8PmTm6", "functional": "PBE", "state": "optimized geometry", "total_magnetization_mub_per_cell": 0.00, "sg": "P-3, No. 147", "dos_ef_per_ev_cell": 24.9, "cell": [[6.638, 0.000, 0.000], [0.000, 8.174, -4.719], [0.000, 0.000, 9.438]], "species": ["Tm", "Tm", "Tm", "Tm", "Tm", "Tm", "La", "La", "La", "La", "La", "La", "La", "La", "Pm"], "fractional_positions": [[0.345, 0.558, 0.659], [0.655, 0.899, 0.558], [0.345, 0.341, 0.899], [0.655, 0.659, 0.101], [0.345, 0.101, 0.442], [0.655, 0.442, 0.341], [0.878, 0.333, 0.667], [0.829, 0.246, 0.952], [0.122, 0.667, 0.333], [0.171, 0.294, 0.246], [0.829, 0.706, 0.754], [0.829, 0.048, 0.294], [0.171, 0.754, 0.048], [0.171, 0.952, 0.706], [0.500, 0.000, 0.000]]}

Record 2
{"formula": "La7Dy3Cd", "functional": "PBE", "state": "optimized geometry", "total_magnetization_mub_per_cell": 0.00, "sg": "C2/m, No. 12", "dos_ef_per_ev_cell": 17.9, "cell": [[6.510, 0.372, -0.289], [-0.266, 7.789, 0.266], [0.481, 0.540, 7.765]], "species": ["La", "La", "La", "La", "La", "La", "La", "Dy", "Dy", "Dy", "Cd"], "fractional_positions": [[0.719, 0.111, 0.459], [0.199, 0.241, 0.241], [0.719, 0.459, 0.111], [0.000, 0.500, 0.500], [0.281, 0.889, 0.541], [0.281, 0.541, 0.889], [0.801, 0.759, 0.759], [0.000, 0.161, 0.839], [0.000, 0.839, 0.161], [0.500, 0.000, 0.000], [0.500, 0.500, 0.500]]}

no.,energy of formation from the pure elements (eV per formula unit)
1,2.566
2,1.908